Below is an optimized crystal structure of Hg2SbAu, with properties calculated at the GGA-PBE level.

Unit cell a=4.1074 b=4.1074 c=5.9128 alpha=90.00 beta=90.00 gamma=90.00
Element x y z (fractional)
1 Hg 0.0000 0.5000 0.0000
2 Hg 0.5000 0.0000 0.0000
3 Sb 0.0000 0.0000 0.5000
4 Au 0.5000 0.5000 0.5000

Formation energy (no corrections) = 0.621 eV/f.u.
VASP energy = -7.38 eV/cell
Crystal system = tetragonal



Below is an optimized crystal structure of Zn2CuAs, with properties calculated at the GGA-PBE level.

Unit cell a=5.2858 b=7.8557 c=2.9653 alpha=90.00 beta=90.30 gamma=90.00
Element x y z (fractional)
1 Zn 0.2500 0.2500 0.0000
2 Zn 0.2500 0.7500 0.0000
3 Zn 0.7500 0.2500 0.0000
4 Zn 0.7500 0.7500 0.0000
5 Cu 0.0000 0.0000 0.5000
6 Cu 0.5000 0.5000 0.5000
7 As 0.0000 0.5000 0.5000
8 As 0.5000 0.0000 0.5000

Energy relative to the elements = 0.11 eV/atom
VASP energy = -21.70 eV/cell
Crystal system = monoclinic



Below is an optimized crystal structure of GaCuBr5, with properties calculated at the GGA-PBE level.

Unit cell a=17.5899 b=7.9833 c=7.7063 alpha=90.00 beta=90.00 gamma=90.00
Element x y z (fractional)
1 Ga 0.1816 0.2500 0.0701
2 Ga 0.3184 0.7500 0.5701
3 Ga 0.6816 0.2500 0.4299
4 Ga 0.8184 0.7500 0.9299
5 Cu 0.0649 0.2500 0.4675
6 Cu 0.4351 0.7500 0.9675
7 Cu 0.5649 0.2500 0.0325
8 Cu 0.9351 0.7500 0.5325
9 Br 0.0000 0.0000 0.5000
10 Br 0.0000 0.5000 0.5000
11 Br 0.1148 0.0076 0.0012
12 Br 0.1148 0.4924 0.0012
13 Br 0.1925 0.2500 0.3995
14 Br 0.1919 0.7500 0.4808
15 Br 0.3081 0.2500 0.9808
16 Br 0.3075 0.7500 0.8995
17 Br 0.3852 0.5076 0.5012
18 Br 0.3852 0.9924 0.5012
19 Br 0.5000 0.0000 0.0000
20 Br 0.5000 0.5000 0.0000
21 Br 0.6148 0.0076 0.4988
22 Br 0.6148 0.4924 0.4988
23 Br 0.6925 0.2500 0.1005
24 Br 0.6919 0.7500 0.0192
25 Br 0.8081 0.2500 0.5192
26 Br 0.8075 0.7500 0.6005
27 Br 0.8852 0.5076 0.9988
28 Br 0.8852 0.9924 0.9988

Formation energy (no corrections) = -3.389 eV/f.u.
VASP energy = -75.51 eV/cell
Crystal system = orthorhombic



Below is an optimized crystal structure of CePr5Tl4, with properties calculated at the GGA-PBE level.

Unit cell a=8.3146 b=9.4761 c=9.0060 alpha=90.00 beta=90.00 gamma=90.00
Element x y z (fractional)
1 Ce 0.2500 0.2500 0.1867
2 Ce 0.7500 0.7500 0.8133
3 Pr 0.0117 0.5553 0.2286
4 Pr 0.0117 0.9447 0.2286
5 Pr 0.2500 0.7500 0.5807
6 Pr 0.4883 0.5553 0.2286
7 Pr 0.4883 0.9447 0.2286
8 Pr 0.5117 0.0553 0.7714
9 Pr 0.5117 0.4447 0.7714
10 Pr 0.7500 0.2500 0.4193
11 Pr 0.9883 0.0553 0.7714
12 Pr 0.9883 0.4447 0.7714
13 Tl 0.0801 0.7500 0.9371
14 Tl 0.2500 0.0876 0.5037
15 Tl 0.2500 0.4124 0.5037
16 Tl 0.4199 0.7500 0.9371
17 Tl 0.5801 0.2500 0.0629
18 Tl 0.7500 0.5876 0.4963
19 Tl 0.7500 0.9124 0.4963
20 Tl 0.9199 0.2500 0.0629

Energy relative to the elements = -0.04 eV/atom
VASP energy = -79.32 eV/cell
Crystal system = orthorhombic



Magnetization: 0.0 0.0 0.0 1.3 (μB/f.u.)